Entry from Alexandria via LeMat-Bulk: Na2Tl3Hg4Pb2 after structural relaxation (PBE-GGA).

Results
* M_tot: 0.00 μB per formula unit

a = 5.4022 Å, b = 5.4022 Å, c = 12.7396 Å
α = 90.00°, β = 90.00°, γ = 120.00°
Space group P-3m1 (No. 164)
Unique sites:
Na  0.3333  0.6667  0.1197 [2 per cell]
Tl  0.0000  0.0000  0.0000 [1 per cell]
Tl  0.0000  0.0000  0.2648 [2 per cell]
Hg  0.3333  0.6667  0.3665 [2 per cell]
Hg  0.3333  0.6667  0.8710 [2 per cell]
Pb  0.3333  0.6667  0.6096 [2 per cell]

=====

Entry from Alexandria via LeMat-Bulk: Pm3Ag2Hg6 after structural relaxation (PBE-GGA).

Results
* M_tot: 0.00 μB per formula unit

a = 4.2349 Å, b = 4.2349 Å, c = 32.4382 Å
α = 90.00°, β = 90.00°, γ = 90.00°
Space group I4/mmm (No. 139)
Unique sites:
Pm  0.0000  0.0000  0.0000 [2 per cell]
Pm  0.0000  0.0000  0.1754 [4 per cell]
Ag  0.0000  0.0000  0.3601 [4 per cell]
Hg  0.0000  0.0000  0.2730 [4 per cell]
Hg  0.0000  0.5000  0.0753 [8 per cell]

=====

Entry from Alexandria via LeMat-Bulk: TaAl3Co4 after structural relaxation (PBE-GGA).

Results
* M_tot: 2.09 μB per formula unit

a = 4.1277 Å, b = 4.1277 Å, c = 11.6886 Å
α = 90.00°, β = 90.00°, γ = 90.00°
Space group I4/mmm (No. 139)
Unique sites:
Ta  0.0000  0.0000  0.0000 [2 per cell]
Al  0.0000  0.0000  0.2523 [4 per cell]
Al  0.0000  0.0000  0.5000 [2 per cell]
Co  0.0000  0.5000  0.1271 [8 per cell]

=====

Number 1: energy of formation from the pure elements -0.62 eV/f.u.. Number 2: energy of formation from the pure elements -2.19 eV/f.u.. Number 3: energy of formation from the pure elements -4.26 eV/f.u..